Ho5Te2C2 | PBE | relaxed

* crystal system: orthorhombic
* Fermi-level density of states: 6.1 states/eV/f.u.
* E_tot: -5.88 eV per atom
* formation energy without anion corrections: -0.590 eV/atom

The structure in POSCAR format:
```
Ho5Te2C2
1.0
7.561 0.000 0.000
0.000 6.735 0.000
-3.781 -3.367 8.755
Ho Te C
10 4 4
Direct
0.235 0.717 0.958
0.765 0.759 0.042
0.223 0.217 0.958
0.777 0.259 0.042
0.200 0.104 0.278
0.800 0.827 0.722
0.578 0.604 0.278
0.422 0.327 0.722
0.096 0.626 0.500
0.904 0.126 0.500
0.150 0.613 0.216
0.850 0.397 0.784
0.566 0.113 0.216
0.434 0.897 0.784
0.000 0.998 0.000
0.500 0.498 0.000
0.168 0.294 0.500
0.832 0.794 0.500
```